1.
Here is crystalline Li4CoTc at its relaxed geometry from Alexandria. Energies are from PBE-GGA.

Unit cell a=4.733 b=4.733 c=4.733 alpha=60.00 beta=60.00 gamma=60.00
Last column: magnetic moment on the atom in μB.
Atoms (fractional coordinates):
Co 0.000 0.000 0.000  1.65
Li 0.375 0.375 0.375  -0.03
Li 0.375 0.875 0.375  -0.03
Li 0.875 0.375 0.375  -0.03
Li 0.375 0.375 0.875  -0.03
Tc 0.750 0.750 0.750  1.52

Space group = F-43m, No. 216
DOS(E_F) = 4.71 states/eV/f.u.


2.
Here is crystalline In2Ga4Bi at its relaxed geometry from Alexandria. Energies are from PBE-GGA.

Unit cell a=3.566 b=3.262 c=14.254 alpha=90.00 beta=95.60 gamma=90.00
Atoms (fractional coordinates):
Bi 0.500 0.000 0.000
Ga 0.089 0.500 0.157
Ga 0.911 0.500 0.843
Ga 0.642 0.000 0.269
Ga 0.358 0.000 0.731
In 0.213 0.500 0.409
In 0.787 0.500 0.591

Space group = P2/m, No. 10
DOS(E_F) = 3.92 states/eV/f.u.


3.
Here is crystalline La2Dy7Er2 at its relaxed geometry from Alexandria. Energies are from PBE-GGA.

Unit cell a=8.074 b=10.427 c=8.074 alpha=126.07 beta=88.52 gamma=53.93
Atoms (fractional coordinates):
Dy 0.000 0.500 0.000
Dy 0.245 0.319 0.232
Dy 0.651 0.076 0.349
Dy 0.232 0.681 0.245
Dy 0.755 0.681 0.768
Dy 0.768 0.319 0.755
Dy 0.349 0.924 0.651
Er 0.712 0.000 0.712
Er 0.288 0.000 0.288
La 0.783 0.308 0.217
La 0.217 0.692 0.783

Space group = C2/m, No. 12
DOS(E_F) = 18.61 states/eV/f.u.


Q: Which calculated volume values were calculated for the entries above? A: 75 165 365, in Å³/cell.
Q: Which ΔH_f (0 K) values were calculated for the entries above? A: 0.496 0.068 0.151, in eV/atom.